{"formula": "Na3In2Ag", "functional": "PBE", "state": "optimized geometry", "lattice": [[-6.6427, -5.0904, 4.9402], [0.1309, -9.7134, -0.2741], [2.6201, -5.0485, 7.8797]], "species": ["Na", "Na", "Na", "Na", "Na", "Na", "Na", "Na", "Na", "Na", "Na", "Na", "Ag", "Ag", "Ag", "Ag", "In", "In", "In", "In", "In", "In", "In", "In"], "frac_coords": [[0.0473, 0.0473, 0.4527], [0.4527, 0.4527, 0.0473], [0.4527, 0.0473, 0.4527], [0.7973, 0.2027, 0.7973], [0.0473, 0.4527, 0.0473], [0.2027, 0.2027, 0.7973], [0.2027, 0.7973, 0.2027], [0.2027, 0.7973, 0.7973], [0.7973, 0.2027, 0.2027], [0.4527, 0.0473, 0.0473], [0.0473, 0.4527, 0.4527], [0.7973, 0.7973, 0.2027], [0.6250, 0.6250, 0.1250], [0.6250, 0.1250, 0.6250], [0.6250, 0.6250, 0.6250], [0.1250, 0.6250, 0.6250], [0.4167, 0.7498, 0.4167], [0.8333, 0.5002, 0.8333], [0.8333, 0.8333, 0.5002], [0.4167, 0.4167, 0.4167], [0.8333, 0.8333, 0.8333], [0.7498, 0.4167, 0.4167], [0.5002, 0.8333, 0.8333], [0.4167, 0.4167, 0.7498]], "magmom_total_mub_per_fu": 0.00, "energy_ev_per_fu": -13.16, "spacegroup": "Fd-3m, No. 227", "dos_at_fermi_per_ev_atom": 0.232}